No. 1
Computed, not measured: NaTcTe2 after structural relaxation at the PBE-GGA level of DFT.

Summary:
Its formation energy (no corrections) is -85 meV/atom. The value obtained for the energy is -4.5775 eV per atom. The value obtained for the magnetic moment is 5.020 μB per cell. For the calculated volume, the calculation gives 356.2 Å³/cell. The calculation puts the distance to the lowest polymorph of the same formula at 0.000 eV per atom.

Structure (POSCAR):
```
NaTcTe2
1.0
3.849 0.000 0.000
-1.924 3.333 0.000
0.000 0.000 27.763
Na Tc Te
3 3 6
direct
0.000 0.000 0.000
0.333 0.667 0.667
0.667 0.333 0.333
0.000 0.000 0.500
0.333 0.667 0.167
0.667 0.333 0.833
0.000 0.000 0.109
0.000 0.000 0.891
0.333 0.667 0.557
0.333 0.667 0.776
0.667 0.333 0.224
0.667 0.333 0.443
```

No. 2
Computed, not measured: TiMn2CoC after structural relaxation at the PBE-GGA level of DFT.

Summary:
The energy of formation is -22 kJ/mol of atoms. The value obtained for the energy is -8.7357 eV per atom. The value obtained for the magnetic moment is 0.567 μB per cell. For the calculated volume, the calculation gives 54.0 Å³/cell.

Structure (POSCAR):
```
TiMn2CoC
1.0
3.812 0.000 0.000
0.000 3.812 0.000
0.000 0.000 3.716
Ti Mn Co C
1 2 1 1
direct
0.000 0.000 0.000
0.000 0.500 0.500
0.500 0.000 0.500
0.500 0.500 0.000
0.500 0.500 0.500
```

No. 3
Computed, not measured: YZr2O after structural relaxation at the PBE-GGA level of DFT.

Summary:
Its formation energy (no corrections) is -1032 meV/atom. The value obtained for the energy is -8.1617 eV per atom. The value obtained for the magnetic moment is 0.000 μB per cell. For the calculated volume, the calculation gives 387.0 Å³/cell.

Structure (POSCAR):
```
YZr2O
1.0
6.661 0.000 0.000
0.000 6.661 0.000
0.000 0.000 8.724
Y Zr O
4 8 4
direct
0.000 0.000 0.000
0.000 0.500 0.250
0.500 0.000 0.750
0.500 0.500 0.500
0.087 0.750 0.625
0.250 0.087 0.375
0.250 0.413 0.875
0.413 0.750 0.125
0.587 0.250 0.125
0.750 0.587 0.875
0.750 0.913 0.375
0.913 0.250 0.625
0.000 0.000 0.500
0.000 0.500 0.750
0.500 0.000 0.250
0.500 0.500 0.000
```